# Tb5TmRu6, optimized geometry, DFT PBE
# Density: 11.04 g/cm3
# Density of states at the Fermi level: 0.902 states/eV/atom
# Energy of formation: -0.31 eV/atom
# Crystal system: monoclinic
data_Tb5TmRu6
_space_group_name_H-M_alt 'C 1 2/m 1'
_space_group_IT_number 12
_space_group_name_Hall '-C 2y'
_cell_length_a 8.325
_cell_length_b 14.403
_cell_length_c 4.826
_cell_angle_alpha 90.00
_cell_angle_beta 125.31
_cell_angle_gamma 90.00
loop_
_atom_site_label
_atom_site_type_symbol
_atom_site_fract_x
_atom_site_fract_y
_atom_site_fract_z
Tb1 Tb 0.000 0.000 0.000
Tb2 Tb 0.000 0.167 0.500
Tb3 Tb 0.000 0.334 0.000
Tm1 Tm 0.000 0.500 0.500
Ru1 Ru 0.248 0.500 0.248
Ru2 Ru 0.249 0.334 0.749

***

# TbTm3Ru, optimized geometry, DFT PBE
# Density: 9.30 g/cm3
# Energy above the lowest structure with this stoichiometry: 142 meV/atom
# Density of states at the Fermi level: 1.221 states/eV/atom
# Energy of formation: -0.08 eV/atom
# Crystal system: monoclinic
data_TbTm3Ru
_space_group_name_H-M_alt 'C 1 2/m 1'
_space_group_IT_number 12
_space_group_name_Hall '-C 2y'
_cell_length_a 17.096
_cell_length_b 3.531
_cell_length_c 9.430
_cell_angle_alpha 90.00
_cell_angle_beta 105.88
_cell_angle_gamma 90.00
loop_
_atom_site_label
_atom_site_type_symbol
_atom_site_fract_x
_atom_site_fract_y
_atom_site_fract_z
Tb1 Tb 0.194 0.000 0.311
Tm1 Tm 0.002 0.500 0.177
Tm2 Tm 0.099 0.500 0.542
Tm3 Tm 0.184 0.000 0.870
Ru1 Ru 0.136 0.500 0.063

***

# TbTm2Ru, optimized geometry, DFT PBE
# Density: 9.61 g/cm3
# Energy above the lowest structure with this stoichiometry: 17 meV/atom
# Density of states at the Fermi level: 0.823 states/eV/atom
# Energy of formation: -0.34 eV/atom
# Crystal system: orthorhombic
data_TbTm2Ru
_space_group_name_H-M_alt 'C m c m'
_space_group_IT_number 63
_space_group_name_Hall '-C 2c 2'
_cell_length_a 3.879
_cell_length_b 11.848
_cell_length_c 8.991
_cell_angle_alpha 90.00
_cell_angle_beta 90.00
_cell_angle_gamma 90.00
loop_
_atom_site_label
_atom_site_type_symbol
_atom_site_fract_x
_atom_site_fract_y
_atom_site_fract_z
Tb1 Tb 0.000 0.074 0.250
Tm1 Tm 0.000 0.356 0.067
Ru1 Ru 0.000 0.257 0.750

***

# TbTmRu, optimized geometry, DFT PBE
# Density: 10.13 g/cm3
# Energy above the lowest structure with this stoichiometry: 0 meV/atom
# Density of states at the Fermi level: 0.347 states/eV/atom
# Energy of formation: -0.37 eV/atom
# Crystal system: hexagonal
data_TbTmRu
_space_group_name_H-M_alt 'P -6 2 m'
_space_group_IT_number 189
_space_group_name_Hall 'P -6 -2'
_cell_length_a 7.6108
_cell_length_b 7.6108
_cell_length_c 4.2042
_cell_angle_alpha 90.00
_cell_angle_beta 90.00
_cell_angle_gamma 120.00
loop_
_atom_site_label
_atom_site_type_symbol
_atom_site_fract_x
_atom_site_fract_y
_atom_site_fract_z
Tb1 Tb 0.0000 0.5882 0.0000
Tm1 Tm 0.0000 0.2552 0.5000
Ru1 Ru 0.0000 0.0000 0.0000
Ru2 Ru 0.3333 0.6667 0.5000

***

# Tb2TmRu2, optimized geometry, DFT PBE
# Density: 9.82 g/cm3
# Energy above the lowest structure with this stoichiometry: 0 meV/atom
# Density of states at the Fermi level: 0.556 states/eV/atom
# Energy of formation: -0.34 eV/atom
# Crystal system: orthorhombic
data_Tb2TmRu2
_space_group_name_H-M_alt 'C m m m'
_space_group_IT_number 65
_space_group_name_Hall '-C 2 2'
_cell_length_a 3.390
_cell_length_b 20.412
_cell_length_c 3.368
_cell_angle_alpha 90.00
_cell_angle_beta 90.00
_cell_angle_gamma 90.00
loop_
_atom_site_label
_atom_site_type_symbol
_atom_site_fract_x
_atom_site_fract_y
_atom_site_fract_z
Tb1 Tb 0.000 0.164 0.000
Tm1 Tm 0.000 0.000 0.000
Ru1 Ru 0.000 0.414 0.500

***

# TbTm5Ru6, optimized geometry, DFT PBE
# Density: 11.71 g/cm3
# Density of states at the Fermi level: 1.140 states/eV/atom
# Energy of formation: -0.39 eV/atom
# Crystal system: monoclinic
data_TbTm5Ru6
_space_group_name_H-M_alt 'C 1 2/m 1'
_space_group_IT_number 12
_space_group_name_Hall '-C 2y'
_cell_length_a 14.989
_cell_length_b 6.738
_cell_length_c 4.764
_cell_angle_alpha 90.00
_cell_angle_beta 108.39
_cell_angle_gamma 90.00
loop_
_atom_site_label
_atom_site_type_symbol
_atom_site_fract_x
_atom_site_fract_y
_atom_site_fract_z
Tb1 Tb 0.000 0.000 0.000
Tm1 Tm 0.000 0.500 0.000
Tm2 Tm 0.167 0.500 0.667
Tm3 Tm 0.168 0.000 0.668
Ru1 Ru 0.000 0.252 0.500
Ru2 Ru 0.167 0.251 0.167

***

# TbTmRu2, optimized geometry, DFT PBE
# Density: 11.36 g/cm3
# Density of states at the Fermi level: 1.296 states/eV/atom
# Energy of formation: -0.36 eV/atom
# Crystal system: tetragonal
data_TbTmRu2
_space_group_name_H-M_alt 'P 4/m m m'
_space_group_IT_number 123
_space_group_name_Hall '-P 4 2'
_cell_length_a 3.383
_cell_length_b 3.383
_cell_length_c 6.770
_cell_angle_alpha 90.00
_cell_angle_beta 90.00
_cell_angle_gamma 90.00
loop_
_atom_site_label
_atom_site_type_symbol
_atom_site_fract_x
_atom_site_fract_y
_atom_site_fract_z
Tb1 Tb 0.000 0.000 0.000
Tm1 Tm 0.000 0.000 0.500
Ru1 Ru 0.500 0.500 0.254

***

# Tb3Tm2Ru3, optimized geometry, DFT PBE
# Density: 10.26 g/cm3
# Density of states at the Fermi level: 0.556 states/eV/atom
# Energy of formation: -0.29 eV/atom
# Crystal system: orthorhombic
data_Tb3Tm2Ru3
_space_group_name_H-M_alt 'I m m m'
_space_group_IT_number 71
_space_group_name_Hall '-I 2 2'
_cell_length_a 3.457
_cell_length_b 5.102
_cell_length_c 20.510
_cell_angle_alpha 90.00
_cell_angle_beta 90.00
_cell_angle_gamma 90.00
loop_
_atom_site_label
_atom_site_type_symbol
_atom_site_fract_x
_atom_site_fract_y
_atom_site_fract_z
Tb1 Tb 0.000 0.000 0.000
Tb2 Tb 0.000 0.500 0.112
Tm1 Tm 0.000 0.000 0.220
Ru1 Ru 0.000 0.000 0.500
Ru2 Ru 0.000 0.500 0.383

***

# TbTm2Ru, optimized geometry, DFT PBE
# Density: 9.63 g/cm3
# Energy above the lowest structure with this stoichiometry: 0 meV/atom
# Density of states at the Fermi level: 0.791 states/eV/atom
# Energy of formation: -0.35 eV/atom
# Crystal system: orthorhombic
data_TbTm2Ru
_space_group_name_H-M_alt 'P n m a'
_space_group_IT_number 62
_space_group_name_Hall '-P 2ac 2n'
_cell_length_a 7.282
_cell_length_b 9.038
_cell_length_c 6.265
_cell_angle_alpha 90.00
_cell_angle_beta 90.00
_cell_angle_gamma 90.00
loop_
_atom_site_label
_atom_site_type_symbol
_atom_site_fract_x
_atom_site_fract_y
_atom_site_fract_z
Tb1 Tb 0.040 0.250 0.129
Tm1 Tm 0.176 0.064 0.667
Ru1 Ru 0.116 0.750 0.458

***

# Tb3TmRu8, optimized geometry, DFT PBE
# Density: 11.24 g/cm3
# Density of states at the Fermi level: 1.237 states/eV/atom
# Energy of formation: -0.30 eV/atom
# Crystal system: trigonal
data_Tb3TmRu8
_space_group_name_H-M_alt 'R 3 m'
_space_group_IT_number 160
_space_group_name_Hall 'R 3 -2"'
_cell_length_a 5.3242
_cell_length_b 5.3242
_cell_length_c 26.2492
_cell_angle_alpha 90.00
_cell_angle_beta 90.00
_cell_angle_gamma 120.00
loop_
_atom_site_label
_atom_site_type_symbol
_atom_site_fract_x
_atom_site_fract_y
_atom_site_fract_z
Tb1 Tb 0.0000 0.0000 0.0000
Tb2 Tb 0.0000 0.0000 0.1251
Tb3 Tb 0.0000 0.0000 0.6249
Tm1 Tm 0.0000 0.0000 0.5002
Ru1 Ru 0.0000 0.0000 0.3126
Ru2 Ru 0.0000 0.0000 0.8128
Ru3 Ru 0.0012 0.5006 0.0631
Ru4 Ru 0.1673 0.3346 0.8953

***

# TbTm2Ru, optimized geometry, DFT PBE
# Density: 9.04 g/cm3
# Energy above the lowest structure with this stoichiometry: 424 meV/atom
# Density of states at the Fermi level: 1.753 states/eV/atom
# Energy of formation: 0.07 eV/atom
# Crystal system: trigonal
data_TbTm2Ru
_space_group_name_H-M_alt 'R -3 m'
_space_group_IT_number 166
_space_group_name_Hall '-R 3 2"'
_cell_length_a 3.4498
_cell_length_b 3.4498
_cell_length_c 31.9509
_cell_angle_alpha 90.00
_cell_angle_beta 90.00
_cell_angle_gamma 120.00
loop_
_atom_site_label
_atom_site_type_symbol
_atom_site_fract_x
_atom_site_fract_y
_atom_site_fract_z
Tb1 Tb 0.0000 0.0000 0.0000
Tm1 Tm 0.0000 0.0000 0.1074
Ru1 Ru 0.0000 0.0000 0.5000

***

# Tb3Tm4Ru4, optimized geometry, DFT PBE
# Density: 10.30 g/cm3
# Density of states at the Fermi level: 0.417 states/eV/atom
# Energy of formation: -0.35 eV/atom
# Crystal system: orthorhombic
data_Tb3Tm4Ru4
_space_group_name_H-M_alt 'I m m m'
_space_group_IT_number 71
_space_group_name_Hall '-I 2 2'
_cell_length_a 3.533
_cell_length_b 8.843
_cell_length_c 16.075
_cell_angle_alpha 90.00
_cell_angle_beta 90.00
_cell_angle_gamma 90.00
loop_
_atom_site_label
_atom_site_type_symbol
_atom_site_fract_x
_atom_site_fract_y
_atom_site_fract_z
Tb1 Tb 0.000 0.000 0.000
Tb2 Tb 0.000 0.500 0.099
Tm1 Tm 0.000 0.310 0.334
Ru1 Ru 0.000 0.000 0.256
Ru2 Ru 0.000 0.226 0.500

***

What did the second record say?
# TbTm3Ru, optimized geometry, DFT PBE
# Density: 9.30 g/cm3
# Energy above the lowest structure with this stoichiometry: 142 meV/atom
# Density of states at the Fermi level: 1.221 states/eV/atom
# Energy of formation: -0.08 eV/atom
# Crystal system: monoclinic
data_TbTm3Ru
_space_group_name_H-M_alt 'C 1 2/m 1'
_space_group_IT_number 12
_space_group_name_Hall '-C 2y'
_cell_length_a 17.096
_cell_length_b 3.531
_cell_length_c 9.430
_cell_angle_alpha 90.00
_cell_angle_beta 105.88
_cell_angle_gamma 90.00
loop_
_atom_site_label
_atom_site_type_symbol
_atom_site_fract_x
_atom_site_fract_y
_atom_site_fract_z
Tb1 Tb 0.194 0.000 0.311
Tm1 Tm 0.002 0.500 0.177
Tm2 Tm 0.099 0.500 0.542
Tm3 Tm 0.184 0.000 0.870
Ru1 Ru 0.136 0.500 0.063

***

Which of these has the highest density of states at the Fermi level?
number 11

***

Which of these has the highest energy of formation?
number 11